[1]
Material: Cr3Co3Te2O16
Method: DFT, PBE+U
State: optimized geometry

## Properties
- electronic total energy (eV/cell) = -150.263

Cell and atoms, written as CIF:
```
data_Cr3Co3Te2O16
_chemical_formula_sum 'Cr3 Co3 Te2 O16'
_symmetry_space_group_name_H-M 'P 1'
_symmetry_Int_Tables_number 1
_cell_length_a 5.8052
_cell_length_b 5.8081
_cell_length_c 9.1394
_cell_angle_alpha 88.53
_cell_angle_beta 88.52
_cell_angle_gamma 60.55
loop_
_symmetry_equiv_pos_as_xyz
'x,y,z'
loop_
_atom_site_label
_atom_site_type_symbol
_atom_site_fract_x
_atom_site_fract_y
_atom_site_fract_z
Cr1 Cr 0.0000 0.0000 0.0000
Cr2 Cr 0.1731 0.6604 0.4954
Cr3 Cr 0.6603 0.1735 0.4944
Co1 Co 0.0022 0.4881 0.9881
Co2 Co 0.4881 0.0023 0.9880
Co3 Co 0.6602 0.6612 0.4893
Te1 Te 0.1703 0.1703 0.2673
Te2 Te 0.5042 0.5040 0.7713
O1 O 0.0012 0.4995 0.3720
O2 O 0.0032 0.0028 0.3744
O3 O 0.1629 0.1631 0.8887
O4 O 0.1667 0.6695 0.8751
O5 O 0.3134 0.3133 0.1070
O6 O 0.3140 0.8712 0.1198
O7 O 0.3520 0.3532 0.6298
O8 O 0.3602 0.7970 0.6183
O9 O 0.4997 0.0010 0.3717
O10 O 0.5013 0.5041 0.3858
O11 O 0.6695 0.1665 0.8749
O12 O 0.6718 0.6718 0.8736
O13 O 0.7963 0.3612 0.6180
O14 O 0.8272 0.8258 0.5762
O15 O 0.8303 0.8303 0.0764
O16 O 0.8710 0.3141 0.1199
```


[2]
Material: TiCrCoO2
Method: DFT, PBE+U
State: optimized geometry

## Properties
- electronic total energy (eV/cell) = -34.090

Cell and atoms, written as CIF:
```
data_TiCrCoO2
_chemical_formula_sum 'Ti1 Cr1 Co1 O2'
_symmetry_space_group_name_H-M 'P 4/m m m'
_symmetry_Int_Tables_number 123
_symmetry_space_group_name_Hall '-P 4 2'
_cell_length_a 3.8128
_cell_length_b 3.8128
_cell_length_c 5.1989
_cell_angle_alpha 90.00
_cell_angle_beta 90.00
_cell_angle_gamma 90.00
loop_
_atom_site_label
_atom_site_type_symbol
_atom_site_fract_x
_atom_site_fract_y
_atom_site_fract_z
Ti1 Ti 0.0000 0.0000 0.0000
Cr1 Cr 0.5000 0.5000 0.5000
Co1 Co 0.0000 0.0000 0.5000
O1 O 0.0000 0.5000 0.0000
```


[3]
Material: TiCr2CoO6
Method: DFT, PBE+U
State: optimized geometry

## Properties
- electronic total energy (eV/cell) = -235.911

Cell and atoms, written as CIF:
```
data_TiCr2CoO6
_chemical_formula_sum 'Ti3 Cr6 Co3 O18'
_symmetry_space_group_name_H-M 'R 3'
_symmetry_Int_Tables_number 146
_symmetry_space_group_name_Hall 'R 3'
_cell_length_a 5.1050
_cell_length_b 5.1050
_cell_length_c 13.8689
_cell_angle_alpha 90.00
_cell_angle_beta 90.00
_cell_angle_gamma 120.00
loop_
_atom_site_label
_atom_site_type_symbol
_atom_site_fract_x
_atom_site_fract_y
_atom_site_fract_z
Ti1 Ti 0.0000 0.0000 0.0000
Cr1 Cr 0.0000 0.0000 0.2026
Cr2 Cr 0.0000 0.0000 0.7042
Co1 Co 0.0000 0.0000 0.4950
O1 O 0.0041 0.3165 0.6099
O2 O 0.0454 0.6796 0.7716
```